# 1
The following is a DFT calculation (GGA-PBE) of a geometry-optimized TbThPd4 structure.

The structure in extended XYZ format:
```
24
Lattice="7.9868 0.0000 0.0000 0.0000 4.4890 0.0000 0.0000 0.0000 13.4843" Properties=species:S:1:pos:R:3 pbc="T T T"
Tb 1.9997 1.1223 0.7180
Tb 1.9937 3.3668 7.4602
Tb 5.9931 1.1223 6.0242
Tb 5.9871 3.3668 12.7663
Th 1.9942 1.1223 10.3372
Th 1.9992 3.3668 3.5950
Th 5.9876 1.1223 9.8893
Th 5.9926 3.3668 3.1472
Pd 0.0032 1.1223 3.3644
Pd 7.9836 3.3668 10.1199
Pd 0.1716 1.1223 7.9636
Pd 0.1720 3.3668 1.2145
Pd 1.9916 1.1223 5.5450
Pd 2.0018 3.3668 12.2872
Pd 3.8214 1.1223 7.9567
Pd 3.8218 3.3668 1.2214
Pd 3.9966 1.1223 3.3777
Pd 3.9902 3.3668 10.1066
Pd 4.1650 1.1223 12.2629
Pd 4.1654 3.3668 5.5277
Pd 5.9850 1.1223 1.1972
Pd 5.9952 3.3668 7.9393
Pd 7.8148 1.1223 12.2698
Pd 7.8152 3.3668 5.5208
```

E above lowest polymorph	0.000	eV/atom
volume	20.1	Å³/atom
ΔH_f (0 K)	-810	meV/atom

***

# 2
The following is a DFT calculation (GGA-PBE) of a geometry-optimized Pa3NbTl2O12 structure.

The structure in extended XYZ format:
```
18
Lattice="4.0125 2.3166 6.3718 -4.0125 2.3166 6.3718 0.0000 -4.6332 6.3718" Properties=species:S:1:pos:R:3 pbc="T T T"
Pa -2.0062 -1.1583 6.3718
Pa -2.0062 1.1583 12.7435
Pa 0.0000 2.3166 6.3718
Nb 0.0000 0.0000 9.5577
Tl 0.0000 0.0000 1.8683
Tl 0.0000 0.0000 17.2470
O 0.0000 -1.8470 5.9321
O -1.5995 0.9235 5.9321
O -1.4251 -0.8228 8.4095
O -1.5995 -0.9235 13.1832
O 0.0000 -1.6455 10.7058
O -1.4251 0.8228 10.7058
O 1.4251 -0.8228 8.4095
O 0.0000 1.6455 8.4095
O 1.5995 0.9235 5.9321
O 1.4251 0.8228 10.7058
O 1.5995 -0.9235 13.1832
O 0.0000 1.8470 13.1832
```

volume	19.7	Å³/atom
uncorrected formation energy	-2.5857	eV per atom